## NaNbAuO3 (PBE-GGA)

Data for crystalline NaNbAuO3 at its relaxed geometry.

Computed properties:
Mass density   6.97 g/cm³
Electronic total energy   -6.686 eV per atom

a = 10.4002 Å, b = 3.0363 Å, c = 10.8879 Å
α = 90.00°, β = 90.00°, γ = 90.00°
Closest atoms and distances in Å follow each position.
Fractional coordinates of all 24 atoms:
Na 0.2430 0.2500 0.1066  5 O 2.31-2.52
Na 0.2570 0.7500 0.6066  5 O 2.31-2.52
Na 0.7430 0.2500 0.3934  5 O 2.31-2.52
Na 0.7570 0.7500 0.8934  5 O 2.31-2.52
Nb 0.0542 0.7500 0.3645  1 O 1.79
Nb 0.4458 0.2500 0.8645  1 O 1.79
Nb 0.5542 0.7500 0.1355  1 O 1.79
Nb 0.9458 0.2500 0.6355  1 O 1.79
Au 0.0530 0.7500 0.9106  1 O 2.29
Au 0.4470 0.2500 0.4106  1 O 2.29
Au 0.5530 0.7500 0.5894  1 O 2.29
Au 0.9470 0.2500 0.0894  1 O 2.29
O 0.0551 0.7500 0.6999  2 Nb 2.02
O 0.1143 0.2500 0.4822  2 Nb 2.08
O 0.1832 0.7500 0.2561  1 Nb 1.79
O 0.3168 0.2500 0.7561  1 Nb 1.79
O 0.3857 0.7500 0.9822  2 Nb 2.08
O 0.4449 0.2500 0.1999  2 Nb 2.02
O 0.5551 0.7500 0.8001  2 Nb 2.02
O 0.6143 0.2500 0.0178  2 Nb 2.08
O 0.6832 0.7500 0.2439  1 Nb 1.79
O 0.8168 0.2500 0.7439  1 Nb 1.79
O 0.8857 0.7500 0.5178  2 Nb 2.08
O 0.9449 0.2500 0.3001  2 Nb 2.02